Entry 1:
A relaxed TaCdFe crystal, computed with PBE.

Unit cell a=4.2706 b=4.2706 c=4.2706 alpha=60.00 beta=60.00 gamma=60.00
Site moments in Bohr magnetons follow the coordinates.
Element x y z (fractional)
1 Fe 0.7500 0.7500 0.7500  1.25
2 Ta 0.0000 0.0000 0.0000  -0.35
3 Cd 0.5000 0.5000 0.5000  0.01

Output
For the raw total energy, the calculation gives -6.4442 eV per atom. Its volume is 55 Å³/cell. As for the energy relative to the elements: 0.633 eV/atom.

Entry 2:
A relaxed Os2Br crystal, computed with PBE.

Unit cell a=6.2256 b=6.2256 c=6.2259 alpha=152.70 beta=152.70 gamma=38.98
Element x y z (fractional)
1 Os 0.8153 0.8153 0.0000
2 Os 0.1847 0.1847 0.0000
3 Br 0.5000 0.5000 0.0000

Output
For the formation energy without anion corrections, the calculation gives 1.02 eV/atom. For the raw total energy, the calculation gives -7.0237 eV per atom. Its volume is 51 Å³/cell.

Entry 3:
A relaxed KGaC crystal, computed with PBE.

Unit cell a=6.7116 b=3.6398 c=11.1330 alpha=90.00 beta=90.00 gamma=90.00
Element x y z (fractional)
1 K 0.9045 0.2500 0.6457
2 K 0.0955 0.7500 0.3543
3 K 0.4045 0.2500 0.8543
4 K 0.5955 0.7500 0.1457
5 C 0.8231 0.2500 0.9337
6 C 0.3231 0.2500 0.5663
7 C 0.1769 0.7500 0.0663
8 C 0.6769 0.7500 0.4337
9 Ga 0.0754 0.2500 0.0739
10 Ga 0.4246 0.7500 0.5739
11 Ga 0.9246 0.7500 0.9261
12 Ga 0.5754 0.2500 0.4261

Output
For the raw total energy, the calculation gives -3.7841 eV per atom. Its volume is 272 Å³/cell. As for the energy relative to the elements: 0.665 eV/atom.